VASP calculation (PBE with a Hubbard U) on Al2FeAgO after structural relaxation.

Unit cell a=4.737 b=4.993 c=4.737 alpha=90.00 beta=90.00 gamma=90.00
Atoms (fractional coordinates):
O: 0.500 0.500 0.500
Al: 0.500 0.000 0.000
Al: 0.000 0.000 0.500
Fe: 0.000 0.500 0.000
Ag: 0.000 0.000 0.000

Values from the calculation:
crystal system: tetragonal
symmetry: P4/mmm, No. 123
density of states at the Fermi level: 3.10 states/eV/f.u.
E: -3.3302 eV/atom